Here is a relaxed Nd12Sm5Tm crystal from the Alexandria database. Energies are from PBE.

Unit cell a=15.506 b=15.507 c=5.172 alpha=90.00 beta=90.00 gamma=90.00
Space group Cmmm (No. 65)
Asymmetric unit:
Nd (0.000, 0.165, 0.000) (multiplicity 4)
Nd (0.000, 0.334, 0.500) (multiplicity 4)
Nd (0.166, 0.165, 0.500) (multiplicity 8)
Nd (0.167, 0.334, 0.000) (multiplicity 8)
Sm (0.000, 0.500, 0.000) (multiplicity 2)
Sm (0.166, 0.000, 0.000) (multiplicity 4)
Sm (0.167, 0.500, 0.500) (multiplicity 4)
Tm (0.000, 0.000, 0.500) (multiplicity 2)

The value obtained for the total magnetization is 0.00 μB/f.u. The theoretical density comes out at 7080 kg/m³. For the uncorrected energy, the calculation gives -4.72 eV per atom. The calculation puts the formation energy from the elements at 0.015 eV per atom.

Here is a relaxed Nd6Sm3Tm2 crystal from the Alexandria database. Energies are from PBE.

Unit cell a=4.813 b=4.813 c=33.790 alpha=90.00 beta=90.00 gamma=90.00
Space group I4/mmm (No. 139)
Asymmetric unit:
Nd (0.000, 0.000, 0.201) (multiplicity 4)
Nd (0.000, 0.500, 0.119) (multiplicity 8)
Sm (0.000, 0.000, 0.303) (multiplicity 4)
Sm (0.000, 0.000, 0.500) (multiplicity 2)
Tm (0.000, 0.000, 0.045) (multiplicity 4)

The value obtained for the total magnetization is 0.00 μB/f.u. The theoretical density comes out at 7019 kg/m³. For the uncorrected energy, the calculation gives -4.42 eV per atom. The calculation puts the formation energy from the elements at 0.282 eV per atom.